Crystalline KAcPtAu at its relaxed geometry. Source: the Alexandria database, functional PBE-GGA.

a b c (Å): 7.564 7.564 7.564
angles (deg): 90.00 90.00 90.00
Fractional positions:
1 K 0.000 0.000 0.000
2 K 0.000 0.500 0.500
3 K 0.500 0.000 0.500
4 K 0.500 0.500 0.000
5 Ac 0.000 0.000 0.500
6 Ac 0.000 0.500 0.000
7 Ac 0.500 0.000 0.000
8 Ac 0.500 0.500 0.500
9 Pt 0.250 0.250 0.750
10 Pt 0.250 0.750 0.250
11 Pt 0.750 0.250 0.250
12 Pt 0.750 0.750 0.750
13 Au 0.250 0.250 0.250
14 Au 0.250 0.750 0.750
15 Au 0.750 0.250 0.750
16 Au 0.750 0.750 0.250

## Properties
Its energy relative to the elements is -516 meV/atom. The total magnetization is 0.0 μB/f.u.